DFT (GGA-PBE) results for an optimized crystal structure of LuCoOsPb.

Output
For the energy above the most stable polymorph in this dataset, the calculation gives 0.000 eV/atom. The uncorrected energy is -103.804 eV per cell. Its crystal system is cubic. Its total moment is 0.01 μB/atom.

Structure (CIF):
```
data_LuCoOsPb
_chemical_formula_sum 'Lu4 Co4 Os4 Pb4'
_cell_length_a 6.558
_cell_length_b 6.558
_cell_length_c 6.558
_cell_angle_alpha 90.00
_cell_angle_beta 90.00
_cell_angle_gamma 90.00
_symmetry_space_group_name_H-M 'F -4 3 m'
_symmetry_Int_Tables_number 216
_symmetry_space_group_name_Hall 'F -4 2 3'
loop_
_atom_site_label
_atom_site_type_symbol
_atom_site_fract_x
_atom_site_fract_y
_atom_site_fract_z
Lu1 Lu 0.000 0.000 0.000
Co1 Co 0.250 0.250 0.750
Os1 Os 0.250 0.250 0.250
Pb1 Pb 0.000 0.000 0.500
```

***

DFT (GGA-PBE) results for an optimized crystal structure of LuCoSnOs.

Output
For the energy above the most stable polymorph in this dataset, the calculation gives 0.000 eV/atom. The uncorrected energy is -110.156 eV per cell. Its crystal system is cubic. Its total moment is 0.01 μB/atom.

Structure (CIF):
```
data_LuCoSnOs
_chemical_formula_sum 'Lu4 Co4 Sn4 Os4'
_cell_length_a 6.457
_cell_length_b 6.457
_cell_length_c 6.457
_cell_angle_alpha 90.00
_cell_angle_beta 90.00
_cell_angle_gamma 90.00
_symmetry_space_group_name_H-M 'F -4 3 m'
_symmetry_Int_Tables_number 216
_symmetry_space_group_name_Hall 'F -4 2 3'
loop_
_atom_site_label
_atom_site_type_symbol
_atom_site_fract_x
_atom_site_fract_y
_atom_site_fract_z
Lu1 Lu 0.000 0.000 0.000
Co1 Co 0.250 0.250 0.750
Sn1 Sn 0.000 0.000 0.500
Os1 Os 0.250 0.250 0.250
```

***

DFT (GGA-PBE) results for an optimized crystal structure of LuCoSnOs.

Output
For the energy above the most stable polymorph in this dataset, the calculation gives 0.470 eV/atom. The uncorrected energy is -102.634 eV per cell. Its crystal system is cubic. Its total moment is 0.67 μB/atom.

Structure (CIF):
```
data_LuCoSnOs
_chemical_formula_sum 'Lu4 Co4 Sn4 Os4'
_cell_length_a 6.550
_cell_length_b 6.550
_cell_length_c 6.550
_cell_angle_alpha 90.00
_cell_angle_beta 90.00
_cell_angle_gamma 90.00
_symmetry_space_group_name_H-M 'F -4 3 m'
_symmetry_Int_Tables_number 216
_symmetry_space_group_name_Hall 'F -4 2 3'
loop_
_atom_site_label
_atom_site_type_symbol
_atom_site_fract_x
_atom_site_fract_y
_atom_site_fract_z
Lu1 Lu 0.000 0.000 0.000
Co1 Co 0.000 0.000 0.500
Sn1 Sn 0.250 0.250 0.250
Os1 Os 0.250 0.250 0.750
```

***

DFT (GGA-PBE) results for an optimized crystal structure of LuCo3P2.

Output
The uncorrected energy is -254.113 eV per cell. Its crystal system is orthorhombic. Its total moment is 0.12 μB/atom.

Structure (CIF):
```
data_LuCo3P2
_chemical_formula_sum 'Lu6 Co18 P12'
_cell_length_a 3.641
_cell_length_b 10.431
_cell_length_c 12.043
_cell_angle_alpha 90.00
_cell_angle_beta 90.00
_cell_angle_gamma 90.00
_symmetry_space_group_name_H-M 'P m m n'
_symmetry_Int_Tables_number 59
loop_
_symmetry_equiv_pos_as_xyz
'x,y,z'
'-x,-y,-z'
'-x+1/2,-y+1/2,z'
'x+1/2,y+1/2,-z'
'x+1/2,-y,-z'
'-x+1/2,y,z'
'-x,y+1/2,-z'
'x,-y+1/2,z'
loop_
_atom_site_label
_atom_site_type_symbol
_atom_site_fract_x
_atom_site_fract_y
_atom_site_fract_z
Lu1 Lu 0.250 0.069 0.206
Lu2 Lu 0.250 0.250 0.477
Co1 Co 0.250 0.128 0.709
Co2 Co 0.250 0.250 0.013
Co3 Co 0.250 0.548 0.431
Co4 Co 0.250 0.583 0.995
Co5 Co 0.250 0.750 0.160
Co6 Co 0.250 0.750 0.704
P1 P 0.250 0.096 0.891
P2 P 0.250 0.563 0.617
P3 P 0.250 0.750 0.347
P4 P 0.250 0.750 0.882
```